Entry from the Alexandria database: a relaxed SiPtW2 crystal (PBEsol).

Results
**Uncorrected energy**: -10.2183 eV per atom

Unit cell a=5.005 b=5.005 c=4.706 alpha=108.70 beta=108.70 gamma=31.67
Positions (direct):
Si 0.000 0.000 0.000
Pt 0.717 0.717 0.323
W 0.259 0.259 0.851
W 0.473 0.473 0.488

=====

Entry from the Alexandria database: a relaxed SiPtW crystal (PBEsol).

Results
**Polymorph energy (0 for the lowest one)**: 0.0 kJ/mol of atoms
**Uncorrected energy**: -9.0021 eV per atom

Unit cell a=4.220 b=4.220 c=2.799 alpha=90.00 beta=90.00 gamma=120.00
Positions (direct):
Si 0.000 0.000 0.000
Pt 0.667 0.333 0.000
W 0.333 0.667 0.500

=====

Entry from the Alexandria database: a relaxed SiPtW2 crystal (PBEsol).

Results
**Uncorrected energy**: -10.0905 eV per atom

Unit cell a=8.947 b=8.947 c=8.947 alpha=17.92 beta=17.92 gamma=17.92
Positions (direct):
Si 0.000 0.000 0.000
Pt 0.742 0.742 0.742
W 0.253 0.253 0.253
W 0.496 0.496 0.496

=====

Entry from the Alexandria database: a relaxed YSi2Pt crystal (PBEsol).

Results
**Uncorrected energy**: -6.8791 eV per atom

Unit cell a=5.187 b=5.187 c=5.187 alpha=135.28 beta=135.28 gamma=65.10
Positions (direct):
Y 0.000 0.000 0.000
Si 0.250 0.750 0.500
Si 0.500 0.500 0.000
Pt 0.750 0.250 0.500

=====

Entry from the Alexandria database: a relaxed ZnSi2Pt crystal (PBEsol).

Results
**Uncorrected energy**: -5.0500 eV per atom

Unit cell a=5.121 b=5.112 c=3.705 alpha=68.90 beta=68.64 gamma=42.45
Positions (direct):
Zn 0.000 0.000 0.000
Si 0.000 0.500 0.000
Si 0.500 0.000 0.500
Pt 0.500 0.500 0.500

=====

Entry from the Alexandria database: a relaxed Zn2SiPt crystal (PBEsol).

Results
**Uncorrected energy**: -4.1563 eV per atom

Unit cell a=3.781 b=3.781 c=3.881 alpha=90.00 beta=90.00 gamma=90.00
Positions (direct):
Zn 0.000 0.500 0.000
Zn 0.500 0.000 0.000
Si 0.000 0.000 0.500
Pt 0.500 0.500 0.500

=====

Entry from the Alexandria database: a relaxed Zn2SiPt crystal (PBEsol).

Results
**Uncorrected energy**: -4.1575 eV per atom

Unit cell a=4.611 b=4.611 c=4.611 alpha=130.28 beta=130.28 gamma=72.96
Positions (direct):
Zn 0.000 0.000 0.000
Zn 0.750 0.250 0.500
Si 0.250 0.750 0.500
Pt 0.500 0.500 0.000

=====

Entry from the Alexandria database: a relaxed ZnSiPt4 crystal (PBEsol).

Results
**Uncorrected energy**: -5.7266 eV per atom

Unit cell a=5.193 b=5.193 c=5.193 alpha=60.00 beta=60.00 gamma=60.00
Positions (direct):
Zn 0.000 0.000 0.000
Si 0.250 0.250 0.250
Pt 0.125 0.625 0.625
Pt 0.625 0.125 0.625
Pt 0.625 0.625 0.125
Pt 0.625 0.625 0.625

=====

no.,magnetic moment (Bohr magnetons per cell)
1,0.00
2,0.00
3,0.00
4,0.00
5,0.00
6,0.00
7,0.00
8,0.00